VASP calculation (GGA-PBE) on a relaxed structure of NaCa4Dy3Te8.

Lattice parameters (Å, degrees): 8.8859 8.8859 21.8334 90.00 90.00 120.00
Space group R-3m (No. 166, hexagonal axes)
Inequivalent atoms, fractional coordinates:
Na 0.0000 0.0000 0.0000 [3 per cell]
Ca 0.0000 0.0000 0.5000 [3 per cell]
Ca 0.0000 0.5000 0.5000 [9 per cell]
Dy 0.0000 0.5000 0.0000 [9 per cell]
Te 0.0000 0.0000 0.2520 [6 per cell]
Te 0.0040 0.5020 0.2519 [18 per cell]

The total energy comes out at -215.1 eV for the cell shown. The value obtained for the calculated volume is 31.10 Å³ per atom. For the uncorrected formation energy, the calculation gives -1463.7 meV per atom.